1.
Below is KBeP after structural relaxation, with properties calculated at the PBE-GGA level.

a b c (Å): 9.567 3.750 10.584
angles (deg): 90.00 90.00 90.00
Space group Pnma (No. 62)
Symmetry-distinct sites (fractional):
K (0.189, 0.250, 0.239) (multiplicity 4)
Be (0.047, 0.750, 0.964) (multiplicity 4)
P (0.089, 0.250, 0.875) (multiplicity 4)



2.
Below is LaPmThIn after structural relaxation, with properties calculated at the PBE-GGA level.

a b c (Å): 7.928 7.928 7.928
angles (deg): 90.00 90.00 90.00
Space group F-43m (No. 216)
Symmetry-distinct sites (fractional):
La (0.000, 0.000, 0.000) (multiplicity 4)
Pm (0.000, 0.000, 0.500) (multiplicity 4)
Th (0.250, 0.250, 0.750) (multiplicity 4)
In (0.250, 0.250, 0.250) (multiplicity 4)

Properties
DOS at the Fermi energy ... 6.728 states/eV/f.u.



Computed ΔE_f, in the same sequence as the records: -404; -53 meV per atom.